A relaxed structure of CuP2Pt. Source: Alexandria, functional PBE.

Calculated values
Formation enthalpy at 0 K (eV per atom): 0.187
Magnetic moment (μB per cell): 0.00
Relative energy among the computed polymorphs (meV per atom): 294
E_tot (eV/f.u.): -20.2
Volume (Å³/atom): 14.4

Cell: 3.169 3.303 5.517 Å, 90.00 90.00 90.00°
Positions (direct):
1 Cu 0.500 0.500 0.750
2 P 0.000 0.000 0.005
3 P 0.000 0.000 0.495
4 Pt 0.500 0.500 0.250

***

A relaxed structure of CuP2Pt. Source: Alexandria, functional PBE.

Calculated values
Formation enthalpy at 0 K (eV per atom): 0.138
Magnetic moment (μB per cell): 0.00
Relative energy among the computed polymorphs (meV per atom): 246
E_tot (eV/f.u.): -20.4
Volume (Å³/atom): 14.4

Cell: 4.330 4.330 4.330 Å, 60.00 60.00 60.00°
Positions (direct):
1 P 0.250 0.250 0.250
2 P 0.750 0.750 0.750
3 Cu 0.000 0.000 0.000
4 Pt 0.500 0.500 0.500

***

A relaxed structure of CuP2Pt. Source: Alexandria, functional PBE.

Calculated values
Formation enthalpy at 0 K (eV per atom): -0.015
Magnetic moment (μB per cell): 0.00
Relative energy among the computed polymorphs (meV per atom): 93
E_tot (eV/f.u.): -21.0
Volume (Å³/atom): 14.6

Cell: 6.846 6.846 6.846 Å, 27.04 27.04 27.04°
Positions (direct):
1 Cu 0.741 0.741 0.741
2 P 0.000 0.000 0.000
3 P 0.251 0.251 0.251
4 Pt 0.508 0.508 0.508

***

A relaxed structure of CuPPt3. Source: Alexandria, functional PBE.

Calculated values
Formation enthalpy at 0 K (eV per atom): -0.185
Magnetic moment (μB per cell): 0.00
Relative energy among the computed polymorphs (meV per atom): 0
E_tot (eV/f.u.): -28.6
Volume (Å³/atom): 15.5

Cell: 6.618 6.618 8.366 Å, 91.41 91.41 57.88°
Positions (direct):
1 Cu 0.868 0.335 0.858
2 Cu 0.665 0.132 0.642
3 Cu 0.132 0.665 0.142
4 Cu 0.335 0.868 0.358
5 P 0.000 0.500 0.500
6 P 0.500 0.000 0.000
7 P 0.521 0.479 0.250
8 P 0.479 0.521 0.750
9 Pt 0.861 0.790 0.857
10 Pt 0.210 0.139 0.643
11 Pt 0.139 0.210 0.143
12 Pt 0.790 0.861 0.357
13 Pt 0.632 0.702 0.609
14 Pt 0.298 0.368 0.891
15 Pt 0.368 0.298 0.391
16 Pt 0.702 0.632 0.109
17 Pt 0.246 0.866 0.909
18 Pt 0.134 0.754 0.591
19 Pt 0.866 0.246 0.409
20 Pt 0.754 0.134 0.091